# InHg2Br2

A relaxed InHg2Br2 crystal (PBE, the Alexandria database).

Lattice parameters (Å, degrees): 8.1299 8.1299 4.7341 90.00 90.00 90.00
Closest atoms and distances in Å follow each position.
Space group P4/mbm (No. 127)
Asymmetric unit:
In1 0.0000 0.0000 0.0000 x2  4 Hg 3.24
Hg1 0.1206 0.3794 0.0000 x4  1 Hg 2.77, 2 Br 3.01
Br1 0.2172 0.7172 0.5000 x4  2 Hg 3.01

Spin magnetization (μB per atom): 0.000
Energy relative to the elements, uncorrected (eV per atom): -0.23
Raw total energy (eV/atom): -1.56